A plane-wave DFT calculation with PBE+U was carried out for a geometry-optimized NaV5O10 structure.

## Properties
final energy	-119.50	eV per cell
total magnetization	6.0	μB per formula unit
symmetry	P1 (1)

Lattice parameters (Å, degrees): 5.681 5.615 7.084 83.98 111.48 113.87
Last column: magnetic moment on the atom in μB.
Fractional positions:
1 Na 0.501 0.985 0.310  0.00
2 V 0.978 0.995 0.000  1.17
3 V 0.199 0.481 0.396  1.79
4 V 0.648 0.513 0.158  1.12
5 V 0.425 0.010 0.773  1.15
6 V 0.775 0.507 0.627  1.16
7 O 0.418 0.208 0.012  -0.07
8 O 0.833 0.365 0.421  -0.04
9 O 0.008 0.669 0.157  -0.04
10 O 0.599 0.796 0.981  -0.03
11 O 0.095 0.183 0.219  -0.12
12 O 0.413 0.332 0.629  -0.06
13 O 0.576 0.633 0.366  -0.04
14 O 0.004 0.808 0.775  -0.08
15 O 0.809 0.213 0.806  -0.04
16 O 0.319 0.802 0.569  -0.11